[1]
MnZnMo2N: relaxed, GGA-PBE.

Calculated values
* ρ: 8.3 Mg/m³
* uncorrected formation energy: -119 meV per atom

```
data_MnZnMo2N
_space_group_name_H-M_alt 'P 4/m m m'
_space_group_IT_number 123
_space_group_name_Hall '-P 4 2'
_cell_length_a 4.1306
_cell_length_b 4.1306
_cell_length_c 3.8426
_cell_angle_alpha 90.00
_cell_angle_beta 90.00
_cell_angle_gamma 90.00
loop_
_atom_site_label
_atom_site_fract_x
_atom_site_fract_y
_atom_site_fract_z
_atom_site_occupancy
Mn1 0.0000 0.0000 0.0000 1
Zn1 0.5000 0.5000 0.0000 1
Mo1 0.0000 0.5000 0.5000 1
N1 0.0000 0.0000 0.5000 1
```


[2]
CrCu2Rh5: relaxed, GGA-PBE.

Calculated values
* formation energy: -37 meV/atom
* ρ: 10.7 Mg/m³

```
data_CrCu2Rh5
_space_group_name_H-M_alt 'I 4/m m m'
_space_group_IT_number 139
_space_group_name_Hall '-I 4 2'
_cell_length_a 3.8354
_cell_length_b 3.8354
_cell_length_c 14.6794
_cell_angle_alpha 90.00
_cell_angle_beta 90.00
_cell_angle_gamma 90.00
loop_
_atom_site_label
_atom_site_fract_x
_atom_site_fract_y
_atom_site_fract_z
_atom_site_occupancy
Cr1 0.0000 0.0000 0.0000 1
Cu1 0.0000 0.0000 0.2507 1
Rh1 0.0000 0.0000 0.5000 1
Rh2 0.0000 0.5000 0.1241 1
```


[3]
BeCoRu2: relaxed, GGA-PBE.

Calculated values
* formation energy: -24 meV/atom
* ρ: 9.8 Mg/m³

```
data_BeCoRu2
_space_group_name_H-M_alt 'P 4/m m m'
_space_group_IT_number 123
_space_group_name_Hall '-P 4 2'
_cell_length_a 2.7403
_cell_length_b 2.7403
_cell_length_c 6.1207
_cell_angle_alpha 90.00
_cell_angle_beta 90.00
_cell_angle_gamma 90.00
loop_
_atom_site_label
_atom_site_fract_x
_atom_site_fract_y
_atom_site_fract_z
_atom_site_occupancy
Be1 0.0000 0.0000 0.0000 1
Co1 0.0000 0.0000 0.5000 1
Ru1 0.5000 0.5000 0.2289 1
```


[4]
PmTiV4: relaxed, GGA-PBE.

Calculated values
* formation energy: 297 meV/atom
* ρ: 6.6 Mg/m³

```
data_PmTiV4
_space_group_name_H-M_alt 'F -4 3 m'
_space_group_IT_number 216
_space_group_name_Hall 'F -4 2 3'
_cell_length_a 7.3627
_cell_length_b 7.3627
_cell_length_c 7.3627
_cell_angle_alpha 90.00
_cell_angle_beta 90.00
_cell_angle_gamma 90.00
loop_
_atom_site_label
_atom_site_fract_x
_atom_site_fract_y
_atom_site_fract_z
_atom_site_occupancy
Pm1 0.0000 0.0000 0.0000 1
Ti1 0.2500 0.2500 0.7500 1
V1 0.1236 0.1236 0.3764 1
```


[5]
AgAs2Se: relaxed, GGA-PBE.

Calculated values
* ρ: 6.2 Mg/m³
* uncorrected formation energy: 164 meV per atom

```
data_AgAs2Se
_space_group_name_H-M_alt 'C 1 m 1'
_space_group_IT_number 8
_space_group_name_Hall 'C -2y'
_cell_length_a 12.9836
_cell_length_b 3.3711
_cell_length_c 4.1497
_cell_angle_alpha 90.00
_cell_angle_beta 95.14
_cell_angle_gamma 90.00
loop_
_atom_site_label
_atom_site_fract_x
_atom_site_fract_y
_atom_site_fract_z
_atom_site_occupancy
Ag1 0.0000 0.0000 0.0000 1
As1 0.2824 0.5000 0.4027 1
As2 0.4444 0.0000 0.4820 1
Se1 0.2093 0.0000 0.9775 1
```


[6]
NaAcPmIr: relaxed, GGA-PBE.

Calculated values
* formation energy: -127 meV/atom
* ρ: 9.2 Mg/m³

```
data_NaAcPmIr
_space_group_name_H-M_alt 'F -4 3 m'
_space_group_IT_number 216
_space_group_name_Hall 'F -4 2 3'
_cell_length_a 7.5219
_cell_length_b 7.5219
_cell_length_c 7.5219
_cell_angle_alpha 90.00
_cell_angle_beta 90.00
_cell_angle_gamma 90.00
loop_
_atom_site_label
_atom_site_fract_x
_atom_site_fract_y
_atom_site_fract_z
_atom_site_occupancy
Na1 0.0000 0.0000 0.0000 1
Ac1 0.2500 0.2500 0.7500 1
Pm1 0.2500 0.2500 0.2500 1
Ir1 0.0000 0.0000 0.5000 1
```


[7]
Ba2MgInH: relaxed, GGA-PBE.

Calculated values
* ρ: 4.5 Mg/m³
* distance to the lowest polymorph of the same formula: 7 meV/atom

```
data_Ba2MgInH
_space_group_name_H-M_alt 'P 4/m m m'
_space_group_IT_number 123
_space_group_name_Hall '-P 4 2'
_cell_length_a 5.7156
_cell_length_b 5.7156
_cell_length_c 4.6462
_cell_angle_alpha 90.00
_cell_angle_beta 90.00
_cell_angle_gamma 90.00
loop_
_atom_site_label
_atom_site_fract_x
_atom_site_fract_y
_atom_site_fract_z
_atom_site_occupancy
Ba1 0.0000 0.5000 0.0000 1
Mg1 0.0000 0.0000 0.5000 1
In1 0.5000 0.5000 0.5000 1
H1 0.0000 0.0000 0.0000 1
```


[8]
SbPbSe2: relaxed, GGA-PBE.

Calculated values
* ρ: 6.1 Mg/m³
* uncorrected formation energy: -227 meV per atom

```
data_SbPbSe2
_space_group_name_H-M_alt 'P n m a'
_space_group_IT_number 62
_space_group_name_Hall '-P 2ac 2n'
_cell_length_a 6.0372
_cell_length_b 5.2221
_cell_length_c 16.7056
_cell_angle_alpha 90.00
_cell_angle_beta 90.00
_cell_angle_gamma 90.00
loop_
_atom_site_label
_atom_site_fract_x
_atom_site_fract_y
_atom_site_fract_z
_atom_site_occupancy
Sb1 0.2441 0.2500 0.1459 1
Pb1 0.2326 0.2500 0.9428 1
Se1 0.1896 0.7500 0.8421 1
Se2 0.2215 0.2500 0.5845 1
```


[9]
PaTlZnO6: relaxed, GGA-PBE.

Calculated values
* ρ: 8.1 Mg/m³
* uncorrected formation energy: -1602 meV per atom

```
data_PaTlZnO6
_space_group_name_H-M_alt 'P 3 1 2'
_space_group_IT_number 149
_space_group_name_Hall 'P 3 2'
_cell_length_a 5.4475
_cell_length_b 5.4475
_cell_length_c 4.7834
_cell_angle_alpha 90.00
_cell_angle_beta 90.00
_cell_angle_gamma 120.00
loop_
_atom_site_label
_atom_site_fract_x
_atom_site_fract_y
_atom_site_fract_z
_atom_site_occupancy
Pa1 0.0000 0.0000 0.0000 1
Tl1 0.3333 0.6667 0.5000 1
Zn1 0.6667 0.3333 0.5000 1
O1 0.3386 0.0218 0.7436 1
```


[10]
LaTbHoEr: relaxed, GGA-PBE.

Calculated values
* formation energy: 111 meV/atom
* ρ: 7.9 Mg/m³

```
data_LaTbHoEr
_space_group_name_H-M_alt 'F -4 3 m'
_space_group_IT_number 216
_space_group_name_Hall 'F -4 2 3'
_cell_length_a 8.0929
_cell_length_b 8.0929
_cell_length_c 8.0929
_cell_angle_alpha 90.00
_cell_angle_beta 90.00
_cell_angle_gamma 90.00
loop_
_atom_site_label
_atom_site_fract_x
_atom_site_fract_y
_atom_site_fract_z
_atom_site_occupancy
La1 0.0000 0.0000 0.0000 1
Tb1 0.0000 0.0000 0.5000 1
Ho1 0.2500 0.2500 0.2500 1
Er1 0.2500 0.2500 0.7500 1
```


[11]
ZnTeCl2: relaxed, GGA-PBE.

Calculated values
* ρ: 2.9 Mg/m³
* uncorrected formation energy: -353 meV per atom
* distance to the lowest polymorph of the same formula: 271 meV/atom

```
data_ZnTeCl2
_space_group_name_H-M_alt 'C m m 2'
_space_group_IT_number 35
_space_group_name_Hall 'C 2 -2'
_cell_length_a 3.6272
_cell_length_b 9.0232
_cell_length_c 9.0911
_cell_angle_alpha 90.00
_cell_angle_beta 90.00
_cell_angle_gamma 90.00
loop_
_atom_site_label
_atom_site_fract_x
_atom_site_fract_y
_atom_site_fract_z
_atom_site_occupancy
Zn1 0.0000 0.0000 0.0000 1
Te1 0.0000 0.5000 0.2245 1
Cl1 0.0000 0.0000 0.4402 1
Cl2 0.0000 0.5000 0.8359 1
```


[12]
LuVRh2: relaxed, GGA-PBE.

Calculated values
* formation energy: -546 meV/atom
* ρ: 11.0 Mg/m³
* distance to the lowest polymorph of the same formula: 0 meV/atom

```
data_LuVRh2
_space_group_name_H-M_alt 'P 4/m m m'
_space_group_IT_number 123
_space_group_name_Hall '-P 4 2'
_cell_length_a 3.0445
_cell_length_b 3.0445
_cell_length_c 7.0455
_cell_angle_alpha 90.00
_cell_angle_beta 90.00
_cell_angle_gamma 90.00
loop_
_atom_site_label
_atom_site_fract_x
_atom_site_fract_y
_atom_site_fract_z
_atom_site_occupancy
Lu1 0.0000 0.0000 0.0000 1
V1 0.0000 0.0000 0.5000 1
Rh1 0.5000 0.5000 0.2873 1
```